# 1
## Mg2TaTc (PBE)

Data for Mg2TaTc after structural relaxation.

Results
DOS at the Fermi energy ... 0.664 states/eV per atom
Polymorph energy (0 for the lowest one) ... 0.2294 eV per atom
Energy of formation ... 232 meV/atom
Final energy ... -6.120 eV per atom

Cell lengths 5.4870, 5.4870, 2.7528 Å; angles 83.66, 83.66, 120.47 degrees
Atoms (fractional coordinates):
1 Ta 0.5000 0.0000 0.5000
2 Mg 0.5000 0.5000 0.0000
3 Mg 0.0000 0.0000 0.0000
4 Tc 0.0000 0.5000 0.5000

=====

# 2
## TiCd3Co (PBE)

Data for TiCd3Co after structural relaxation.

Results
DOS at the Fermi energy ... 1.481 states/eV per atom
Polymorph energy (0 for the lowest one) ... 0.0000 eV per atom
Energy of formation ... 749 meV/atom
Final energy ... -2.800 eV per atom

Cell lengths 4.8111, 4.8111, 4.8111 Å; angles 90.00, 90.00, 90.00 degrees
Atoms (fractional coordinates):
1 Cd 0.0000 0.5000 0.0000
2 Cd 0.5000 0.0000 0.0000
3 Cd 0.0000 0.0000 0.5000
4 Co 0.0000 0.0000 0.0000
5 Ti 0.5000 0.5000 0.5000

=====

# 3
## AcBPd2 (PBE)

Data for AcBPd2 after structural relaxation.

Results
DOS at the Fermi energy ... 0.969 states/eV per atom
Energy of formation ... -248 meV/atom
Final energy ... -5.541 eV per atom

Cell lengths 4.0371, 4.0371, 5.9159 Å; angles 70.05, 70.05, 60.00 degrees
Atoms (fractional coordinates):
1 B 0.0000 0.0000 0.0000
2 Ac 0.5000 0.5000 0.5000
3 Pd 0.7060 0.7060 0.8820
4 Pd 0.2940 0.2940 0.1180

=====

# 4
## Pu2Ni4AgGe3 (PBE)

Data for Pu2Ni4AgGe3 after structural relaxation.

Results
DOS at the Fermi energy ... 2.679 states/eV per atom
Energy of formation ... -348 meV/atom
Final energy ... -7.197 eV per atom

Cell lengths 3.9916, 3.9916, 10.5079 Å; angles 90.00, 90.00, 90.00 degrees
Atoms (fractional coordinates):
1 Pu 0.5000 0.0000 0.2466
2 Pu 0.0000 0.5000 0.7534
3 Ni 0.5000 0.0000 0.6527
4 Ni 0.5000 0.5000 0.0000
5 Ni 0.0000 0.0000 0.0000
6 Ni 0.0000 0.5000 0.3473
7 Ge 0.0000 0.5000 0.1244
8 Ge 0.5000 0.0000 0.8756
9 Ge 0.0000 0.0000 0.5000
10 Ag 0.5000 0.5000 0.5000

=====

# 5
## ThScGaHg (PBE)

Data for ThScGaHg after structural relaxation.

Results
DOS at the Fermi energy ... 0.921 states/eV per atom
Energy of formation ... -360 meV/atom
Final energy ... -4.630 eV per atom

Cell lengths 5.1489, 5.1489, 5.1489 Å; angles 60.00, 60.00, 60.00 degrees
Atoms (fractional coordinates):
1 Sc 0.2500 0.2500 0.2500
2 Ga 0.5000 0.5000 0.5000
3 Hg 0.0000 0.0000 0.0000
4 Th 0.7500 0.7500 0.7500

=====

# 6
## ScSi2Ru (PBE)

Data for ScSi2Ru after structural relaxation.

Results
DOS at the Fermi energy ... 0.571 states/eV per atom
Formation energy from raw total energies ... -0.53 eV per atom
Final energy ... -7.140 eV per atom

Cell lengths 3.9939, 3.2451, 4.9423 Å; angles 70.84, 90.00, 90.00 degrees
Atoms (fractional coordinates):
1 Ru 0.0000 0.4883 0.3975
2 Sc 0.5000 0.7719 0.8316
3 Si 0.0000 0.1974 0.9804
4 Si 0.5000 0.0424 0.2904

=====

# 7
## InNi4Ge (PBE)

Data for InNi4Ge after structural relaxation.

Results
DOS at the Fermi energy ... 0.864 states/eV per atom
Energy of formation ... -97 meV/atom
Final energy ... -5.177 eV per atom

Cell lengths 3.1649, 12.0462, 8.5771 Å; angles 151.64, 90.01, 90.00 degrees
Atoms (fractional coordinates):
1 Ni 0.0000 0.7970 0.4529
2 Ni 0.5000 0.8700 0.0422
3 Ni 0.5000 0.2966 0.4525
4 Ni 0.5000 0.7034 0.5475
5 Ni 0.0000 0.6297 0.9575
6 Ni 0.5000 0.1300 0.9578
7 Ni 0.0000 0.2030 0.5471
8 Ni 0.0000 0.3703 0.0425
9 Ge 0.0000 0.0000 0.0000
10 Ge 0.5000 0.5000 0.0000
11 In 0.5000 0.0000 0.5000
12 In 0.0000 0.5000 0.5000

=====

# 8
## DyErLuSc (PBE)

Data for DyErLuSc after structural relaxation.

Results
DOS at the Fermi energy ... 1.834 states/eV per atom
Energy of formation ... 114 meV/atom
Final energy ... -4.890 eV per atom

Cell lengths 5.4795, 5.4795, 5.4795 Å; angles 60.00, 60.00, 60.00 degrees
Atoms (fractional coordinates):
1 Lu 0.0000 0.0000 0.0000
2 Sc 0.5000 0.5000 0.5000
3 Er 0.7500 0.7500 0.7500
4 Dy 0.2500 0.2500 0.2500

=====

# 9
## Mg3VPd (PBE)

Data for Mg3VPd after structural relaxation.

Results
DOS at the Fermi energy ... 0.509 states/eV per atom
Polymorph energy (0 for the lowest one) ... 0.6772 eV per atom
Energy of formation ... 1025 meV/atom
Final energy ... -2.794 eV per atom

Cell lengths 5.0435, 5.0435, 5.0435 Å; angles 90.00, 90.00, 90.00 degrees
Atoms (fractional coordinates):
1 Mg 0.5000 0.0000 0.0000
2 Mg 0.0000 0.0000 0.5000
3 Mg 0.0000 0.5000 0.0000
4 V 0.0000 0.0000 0.0000
5 Pd 0.5000 0.5000 0.5000

=====

# 10
## TbPr2Au4 (PBE)

Data for TbPr2Au4 after structural relaxation.

Results
DOS at the Fermi energy ... 0.885 states/eV per atom
Polymorph energy (0 for the lowest one) ... 0.0000 eV per atom
Energy of formation ... -660 meV/atom
Final energy ... -4.559 eV per atom

Cell lengths 5.3215, 5.3215, 7.5816 Å; angles 110.55, 110.55, 90.00 degrees
Atoms (fractional coordinates):
1 Tb 0.0000 0.0000 0.0000
2 Au 0.6133 0.1133 0.2265
3 Au 0.3867 0.8867 0.7735
4 Au 0.1133 0.6133 0.2265
5 Au 0.8867 0.3867 0.7735
6 Pr 0.2807 0.2807 0.5614
7 Pr 0.7193 0.7193 0.4386

=====

# 11
## Ba2ZnCu (PBE)

Data for Ba2ZnCu after structural relaxation.

Results
DOS at the Fermi energy ... 0.629 states/eV per atom
Energy of formation ... 173 meV/atom
Final energy ... -2.131 eV per atom

Cell lengths 5.4605, 5.4605, 5.4605 Å; angles 60.00, 60.00, 60.00 degrees
Atoms (fractional coordinates):
1 Cu 0.5000 0.5000 0.5000
2 Zn 0.7500 0.7500 0.7500
3 Ba 0.0000 0.0000 0.0000
4 Ba 0.2500 0.2500 0.2500

=====

# 12
## ErScZnGe (PBE)

Data for ErScZnGe after structural relaxation.

Results
DOS at the Fermi energy ... 0.414 states/eV per atom
Energy of formation ... -516 meV/atom
Final energy ... -4.712 eV per atom

Cell lengths 4.8495, 4.8495, 4.8495 Å; angles 60.00, 60.00, 60.00 degrees
Atoms (fractional coordinates):
1 Sc 0.0000 0.0000 0.0000
2 Er 0.5000 0.5000 0.5000
3 Ge 0.2500 0.2500 0.2500
4 Zn 0.7500 0.7500 0.7500

=====

- DOS at the Fermi energy of number 1 (Mg2TaTc)?
  0.664 states/eV per atom

=====

- Which of these has the lowest DOS at the Fermi energy?
  ErScZnGe

=====

- Look up the final energy of the third one.
  -5.541 eV per atom